1.
DFT (PBE) results for crystalline Dy4Er7Tm at its relaxed geometry.

```
Dy4Er7Tm
1.0
5.967 -2.898 0.000
5.967 2.898 0.000
-5.951 0.000 11.051
Dy Er Tm
4 7 1
Cartesian
-1.212 0.000 3.575 Dy
3.004 0.000 2.480 Dy
2.979 0.000 8.570 Dy
7.195 0.000 7.476 Dy
0.000 0.000 0.000 Er
-2.965 0.000 10.218 Er
-1.107 0.000 7.559 Er
1.392 0.000 5.504 Er
4.591 0.000 5.547 Er
7.090 0.000 3.492 Er
8.948 0.000 0.833 Er
5.967 0.000 0.000 Tm
```

## Properties
Space-group type ... No. 12
Energy above the lowest structure with this stoichiometry ... 20.21 kJ per mole of atoms

***

2.
DFT (PBE) results for crystalline DyEr2Tm3 at its relaxed geometry.

```
DyEr2Tm3
1.0
8.718 -1.726 0.000
8.718 1.726 0.000
-6.441 0.000 12.345
Dy Er Tm
2 4 6
Cartesian
0.132 0.000 1.786 Dy
10.862 0.000 10.559 Dy
-3.484 0.000 11.950 Er
1.594 0.000 7.601 Er
9.400 0.000 4.744 Er
14.479 0.000 0.395 Er
-1.654 0.000 6.488 Tm
-0.921 0.000 9.796 Tm
6.161 0.000 3.561 Tm
4.834 0.000 8.784 Tm
11.915 0.000 2.550 Tm
12.649 0.000 5.857 Tm
```

## Properties
Space-group type ... No. 12
Energy above the lowest structure with this stoichiometry ... 9.28 kJ per mole of atoms

***

3.
DFT (PBE) results for crystalline Dy2Er3Tm7 at its relaxed geometry.

```
Dy2Er3Tm7
1.0
6.218 0.000 0.000
0.000 3.463 0.000
-1.866 0.000 17.026
Dy Er Tm
2 3 7
Cartesian
0.063 0.000 2.962 Dy
4.288 0.000 14.063 Dy
1.215 1.731 14.350 Er
2.176 0.000 8.513 Er
3.136 1.731 2.676 Er
-0.933 1.731 8.513 Tm
0.154 0.000 11.359 Tm
-0.278 0.000 17.004 Tm
1.085 1.731 5.709 Tm
3.266 1.731 11.317 Tm
4.630 0.000 0.022 Tm
4.198 0.000 5.667 Tm
```

## Properties
Space-group type ... No. 10
Energy above the lowest structure with this stoichiometry ... 0.00 kJ per mole of atoms

***

4.
DFT (PBE) results for crystalline Dy5Er3Tm at its relaxed geometry.

```
Dy5Er3Tm
1.0
7.494 -5.672 0.000
7.494 5.672 0.000
-6.294 0.000 7.499
Dy Er Tm
10 6 2
Cartesian
3.658 2.859 1.897 Dy
1.872 0.000 1.764 Dy
7.494 2.921 0.000 Dy
-1.883 0.000 7.214 Dy
5.036 2.859 5.601 Dy
3.658 -2.859 1.897 Dy
10.577 0.000 0.285 Dy
7.494 -2.921 0.000 Dy
6.822 0.000 5.735 Dy
5.036 -2.859 5.601 Dy
-3.147 0.000 3.749 Er
-5.001 0.000 6.146 Er
3.174 0.000 4.797 Er
7.494 0.000 0.000 Er
5.521 0.000 2.702 Er
13.695 0.000 1.353 Er
-0.067 0.000 4.498 Tm
8.761 0.000 3.001 Tm
```

## Properties
Space-group type ... No. 12
Energy above the lowest structure with this stoichiometry ... 0.00 kJ per mole of atoms

***

5.
DFT (PBE) results for crystalline Dy5Er12Tm2 at its relaxed geometry.

```
Dy5Er12Tm2
1.0
7.664 -4.576 0.000
7.664 4.576 0.000
-0.299 0.000 8.472
Dy Er Tm
5 12 2
Cartesian
0.000 0.000 0.000 Dy
3.518 0.000 0.605 Dy
4.369 0.000 4.065 Dy
10.661 0.000 4.406 Dy
11.512 0.000 7.866 Dy
5.302 2.930 2.204 Er
1.035 0.000 3.165 Er
5.429 1.754 7.036 Er
9.728 2.930 6.267 Er
9.600 1.754 1.436 Er
6.745 0.000 1.393 Er
8.285 0.000 7.079 Er
5.429 -1.754 7.036 Er
5.302 -2.930 2.204 Er
9.600 -1.754 1.436 Er
13.995 0.000 5.307 Er
9.728 -2.930 6.267 Er
7.515 1.582 4.236 Tm
7.515 -1.582 4.236 Tm
```

## Properties
Space-group type ... No. 12
Energy above the lowest structure with this stoichiometry ... 3.30 kJ per mole of atoms

***

6.
DFT (PBE) results for crystalline DyEr2Tm2 at its relaxed geometry.

```
DyEr2Tm2
1.0
9.211 0.000 0.000
0.000 9.211 0.000
0.000 0.000 3.634
Dy Er Tm
2 4 4
Cartesian
0.000 0.000 0.000 Dy
4.605 4.605 0.000 Dy
1.588 3.018 1.817 Er
3.018 7.623 1.817 Er
6.193 1.588 1.817 Er
7.623 6.193 1.817 Er
1.155 5.760 0.000 Tm
3.451 1.155 0.000 Tm
5.760 8.056 0.000 Tm
8.056 3.451 0.000 Tm
```

## Properties
Space-group type ... No. 127
Energy above the lowest structure with this stoichiometry ... 6.26 kJ per mole of atoms

***

7.
DFT (PBE) results for crystalline Dy8Er3Tm2 at its relaxed geometry.

```
Dy8Er3Tm2
1.0
9.964 -3.787 0.000
9.964 3.787 0.000
-0.002 0.000 5.566
Dy Er Tm
8 3 2
Cartesian
7.807 2.193 5.565 Dy
3.359 0.000 2.786 Dy
12.118 2.193 0.001 Dy
7.316 0.000 2.784 Dy
12.610 0.000 2.782 Dy
7.807 -2.193 5.565 Dy
16.566 0.000 2.780 Dy
12.118 -2.193 0.001 Dy
9.963 2.158 2.783 Er
9.964 0.000 0.000 Er
9.963 -2.158 2.783 Er
5.160 0.000 0.003 Tm
14.766 0.000 5.562 Tm
```

## Properties
Space-group type ... No. 12

***

8.
DFT (PBE) results for crystalline Dy5Er2Tm at its relaxed geometry.

```
Dy5Er2Tm
1.0
7.037 0.000 0.000
0.000 14.075 0.000
0.000 0.000 4.970
Dy Er Tm
10 4 2
Cartesian
0.000 0.000 0.000 Dy
0.000 3.524 0.000 Dy
7.037 10.551 0.000 Dy
1.761 1.757 2.485 Dy
1.757 8.794 2.485 Dy
3.518 3.514 0.000 Dy
3.518 7.038 0.000 Dy
3.518 10.561 0.000 Dy
5.280 5.281 2.485 Dy
5.276 12.319 2.485 Dy
1.759 5.284 2.485 Er
1.760 12.321 2.485 Er
5.277 1.754 2.485 Er
5.278 8.791 2.485 Er
0.000 7.038 0.000 Tm
3.518 0.000 0.000 Tm
```

## Properties
Space-group type ... No. 55
Energy above the lowest structure with this stoichiometry ... 0.00 kJ per mole of atoms

***

9.
DFT (PBE) results for crystalline DyEr3Tm at its relaxed geometry.

```
DyEr3Tm
1.0
6.057 0.000 0.000
-1.019 5.978 0.000
-3.018 -2.554 8.379
Dy Er Tm
2 6 2
Cartesian
0.504 1.112 1.261 Dy
1.516 2.312 7.118 Dy
-2.516 -0.418 6.279 Er
4.536 3.842 2.100 Er
0.507 0.089 4.605 Er
1.509 4.357 0.422 Er
0.511 -0.933 7.957 Er
1.513 3.335 3.774 Er
-1.515 2.824 5.442 Tm
3.535 0.601 2.937 Tm
```

## Properties
Space-group type ... No. 2
Energy above the lowest structure with this stoichiometry ... 0.00 kJ per mole of atoms

***

10.
DFT (PBE) results for crystalline Dy2ErTm9 at its relaxed geometry.

```
Dy2ErTm9
1.0
11.032 0.000 0.000
-5.516 9.554 0.000
0.000 0.000 3.454
Dy Er Tm
2 1 9
Cartesian
0.000 6.369 0.000 Dy
5.516 3.185 0.000 Dy
0.000 0.000 0.000 Er
-2.758 4.777 0.000 Tm
0.000 3.367 1.727 Tm
-2.600 7.870 1.727 Tm
2.916 1.684 1.727 Tm
5.516 0.000 0.000 Tm
2.758 4.777 0.000 Tm
2.600 7.870 1.727 Tm
8.116 1.684 1.727 Tm
5.516 6.187 1.727 Tm
```

## Properties
Space-group type ... No. 191
Energy above the lowest structure with this stoichiometry ... 3.48 kJ per mole of atoms

***

Number 1: E_tot -51.2 eV for the cell shown. Number 2: E_tot -52.8 eV for the cell shown. Number 3: E_tot -53.2 eV for the cell shown. Number 4: E_tot -72.9 eV for the cell shown. Number 5: E_tot -84.3 eV for the cell shown. Number 6: E_tot -44.4 eV for the cell shown. Number 7: E_tot -56.4 eV for the cell shown. Number 8: E_tot -72.9 eV for the cell shown. Number 9: E_tot -45.3 eV for the cell shown. Number 10: E_tot -53.3 eV for the cell shown.